1.
The following is a DFT calculation (PBE-GGA) of a relaxed structure of CsKVBr6.

- raw formation energy (kJ/mol of formula units) = -1027.8

abc: 7.886 13.679 7.226
angles: 90.00 90.03 90.00
Space group C2 (No. 5)
Inequivalent atoms, fractional coordinates:
Cs1 0.000 0.000 0.000 (multiplicity 2)
K1 0.000 0.334 0.500 (multiplicity 2)
V1 0.000 0.667 0.500 (multiplicity 2)
Br1 0.125 0.537 0.298 (multiplicity 4)
Br2 0.132 0.794 0.298 (multiplicity 4)
Br3 0.242 0.169 0.298 (multiplicity 4)

2.
The following is a DFT calculation (PBE-GGA) of a relaxed structure of Pa2Al4Au3.

- calculated formation energy (eV per atom) = -0.413

abc: 6.007 14.806 7.834
angles: 90.00 90.00 90.00
Space group Cmce (No. 64)
Inequivalent atoms, fractional coordinates:
Pa1 0.000 0.084 0.087 (multiplicity 8)
Al1 0.000 0.179 0.490 (multiplicity 8)
Al2 0.250 0.073 0.750 (multiplicity 8)
Au1 0.000 0.000 0.500 (multiplicity 4)
Au2 0.250 0.248 0.750 (multiplicity 8)

3.
The following is a DFT calculation (PBE-GGA) of a relaxed structure of Th3Au2C.

- calculated formation energy (eV per atom) = -0.521

abc: 5.096 3.723 7.931
angles: 90.00 108.64 90.00
Space group P2/m (No. 10)
Inequivalent atoms, fractional coordinates:
Th1 0.000 0.000 0.000 (multiplicity 1)
Th2 0.378 0.500 0.755 (multiplicity 2)
Au1 0.199 0.000 0.399 (multiplicity 2)
C1 0.500 0.000 0.000 (multiplicity 1)

4.
The following is a DFT calculation (PBE-GGA) of a relaxed structure of Pm6AsRh2Se3.

- raw formation energy (kJ/mol of formula units) = -1594.9

abc: 18.548 4.130 8.590
angles: 90.00 105.87 90.00
Space group C2/m (No. 12)
Inequivalent atoms, fractional coordinates:
Pm1 0.008 0.000 0.249 (multiplicity 4)
Pm2 0.167 0.500 0.106 (multiplicity 4)
Pm3 0.172 0.500 0.575 (multiplicity 4)
As1 0.000 0.500 0.000 (multiplicity 2)
Rh1 0.169 0.000 0.340 (multiplicity 4)
Se1 0.000 0.500 0.500 (multiplicity 2)
Se2 0.162 0.000 0.840 (multiplicity 4)

5.
The following is a DFT calculation (PBE-GGA) of a relaxed structure of SnGeCl2.

- ΔE to the lowest computed polymorph (kJ/mol of atoms) = 0.00
- raw formation energy (kJ/mol of formula units) = -111.5

abc: 3.5975 3.5975 34.9858
angles: 90.00 90.00 120.00
Space group R-3m (No. 166, hexagonal axes)
Inequivalent atoms, fractional coordinates:
Sn1 0.0000 0.0000 0.0000 (multiplicity 3)
Ge1 0.0000 0.0000 0.5000 (multiplicity 3)
Cl1 0.0000 0.0000 0.1194 (multiplicity 6)

6.
The following is a DFT calculation (PBE-GGA) of a relaxed structure of MnCdIn2.

- calculated formation energy (eV per atom) = 0.229

abc: 4.367 4.367 8.979
angles: 90.00 90.00 90.00
Space group I4/mmm (No. 139)
Inequivalent atoms, fractional coordinates:
Mn1 0.000 0.000 0.000 (multiplicity 2)
Cd1 0.000 0.000 0.500 (multiplicity 2)
In1 0.000 0.500 0.250 (multiplicity 4)

| no. | magnetization (μB per formula unit) |
| --- | --- |
| 1 | 1.00 |
| 2 | 1.26 |
| 3 | 0.00 |
| 4 | 0.00 |
| 5 | 0.00 |
| 6 | 3.66 |